Computed, not measured: HfSc3Ge after structural relaxation at the PBE level of DFT. Values from VASP.

Geometry as Quantum ESPRESSO input:
```
&SYSTEM
  ibrav = 0, nat = 5, ntyp = 3
/
ATOMIC_SPECIES
Sc 44.96 Sc.upf
Ge 72.64 Ge.upf
Hf 178.49 Hf.upf
CELL_PARAMETERS angstrom
5.0612 0.0000 0.0000
0.0000 5.0612 0.0000
0.0000 0.0000 5.0612
ATOMIC_POSITIONS crystal
Sc 0.0000 0.5000 0.0000
Sc 0.0000 0.0000 0.5000
Sc 0.5000 0.0000 0.0000
Ge 0.0000 0.0000 0.0000
Hf 0.5000 0.5000 0.5000
```

Computed properties:
- Energy above the lowest structure with this stoichiometry: 0.000 eV/atom
- Crystal system: cubic
- Energy relative to the elements: 0.249 eV per atom



Computed, not measured: HfScTaGe2 after structural relaxation at the PBE level of DFT. Values from VASP.

Geometry as Quantum ESPRESSO input:
```
&SYSTEM
  ibrav = 0, nat = 5, ntyp = 4
/
ATOMIC_SPECIES
Sc 44.96 Sc.upf
Ge 72.64 Ge.upf
Hf 178.49 Hf.upf
Ta 180.95 Ta.upf
CELL_PARAMETERS angstrom
-4.9639 0.0338 -0.7336
-0.1559 -4.9567 0.8268
-0.7177 0.8391 4.8949
ATOMIC_POSITIONS crystal
Sc 0.5000 0.5000 0.5000
Ge 0.0000 0.0000 0.5000
Ge 0.5000 0.0000 0.0000
Hf 0.0000 0.0000 0.0000
Ta 0.0000 0.5000 0.0000
```

Computed properties:
- Crystal system: tetragonal
- Energy relative to the elements: 0.850 eV per atom



Computed, not measured: Hf2ScTaGe after structural relaxation at the PBE level of DFT. Values from VASP.

Geometry as Quantum ESPRESSO input:
```
&SYSTEM
  ibrav = 0, nat = 5, ntyp = 4
/
ATOMIC_SPECIES
Sc 44.96 Sc.upf
Ge 72.64 Ge.upf
Hf 178.49 Hf.upf
Ta 180.95 Ta.upf
CELL_PARAMETERS angstrom
4.9858 0.0000 0.0000
0.0000 4.8313 0.0000
0.0000 0.0000 4.9858
ATOMIC_POSITIONS crystal
Sc 0.5000 0.5000 0.5000
Ge 0.0000 0.0000 0.0000
Hf 0.0000 0.0000 0.5000
Hf 0.5000 0.0000 0.0000
Ta 0.0000 0.5000 0.0000
```

Computed properties:
- Crystal system: tetragonal
- Energy relative to the elements: 0.459 eV per atom



Computed, not measured: HfScTcGe2 after structural relaxation at the PBE level of DFT. Values from VASP.

Geometry as Quantum ESPRESSO input:
```
&SYSTEM
  ibrav = 0, nat = 5, ntyp = 4
/
ATOMIC_SPECIES
Sc 44.96 Sc.upf
Ge 72.64 Ge.upf
Hf 178.49 Hf.upf
Tc 98.00 Tc.upf
CELL_PARAMETERS angstrom
5.0600 0.0000 0.0000
0.0000 5.0229 0.0000
0.0000 0.0000 5.0600
ATOMIC_POSITIONS crystal
Sc 0.0000 0.5000 0.0000
Ge 0.0000 0.0000 0.5000
Ge 0.5000 0.0000 0.0000
Hf 0.0000 0.0000 0.0000
Tc 0.5000 0.5000 0.5000
```

Computed properties:
- Crystal system: tetragonal
- Energy relative to the elements: 1.220 eV per atom



Computed, not measured: HfSc2VGe after structural relaxation at the PBE level of DFT. Values from VASP.

Geometry as Quantum ESPRESSO input:
```
&SYSTEM
  ibrav = 0, nat = 5, ntyp = 4
/
ATOMIC_SPECIES
Sc 44.96 Sc.upf
Ge 72.64 Ge.upf
Hf 178.49 Hf.upf
V 50.94 V.upf
CELL_PARAMETERS angstrom
4.6850 0.0000 0.0000
0.0000 4.8318 0.0000
0.0000 0.0000 4.6850
ATOMIC_POSITIONS crystal
Sc 0.0000 0.0000 0.5000
Sc 0.5000 0.0000 0.0000
Ge 0.0000 0.5000 0.0000
Hf 0.5000 0.5000 0.5000
V 0.0000 0.0000 0.0000
```

Computed properties:
- Crystal system: tetragonal
- Energy relative to the elements: 0.477 eV per atom



Computed, not measured: Hf2GeSe after structural relaxation at the PBE level of DFT. Values from VASP.

Geometry as Quantum ESPRESSO input:
```
&SYSTEM
  ibrav = 0, nat = 8, ntyp = 3
/
ATOMIC_SPECIES
Ge 72.64 Ge.upf
Hf 178.49 Hf.upf
Se 78.96 Se.upf
CELL_PARAMETERS angstrom
5.9959 0.0000 0.0000
0.0000 5.9959 0.0000
2.9980 2.9980 6.0431
ATOMIC_POSITIONS crystal
Ge 0.5000 0.5000 0.0000
Ge 0.2500 0.7500 0.5000
Hf 0.6175 0.1250 0.2500
Hf 0.1325 0.6250 0.2500
Hf 0.3750 0.3825 0.7500
Hf 0.8750 0.8675 0.7500
Se 0.0000 0.0000 0.0000
Se 0.7500 0.2500 0.5000
```

Computed properties:
- Energy above the lowest structure with this stoichiometry: 0.689 eV/atom
- Crystal system: tetragonal
- Formation energy from raw total energies: -0.1371 eV/atom



Computed, not measured: HfGe2Se6 after structural relaxation at the PBE level of DFT. Values from VASP.

Geometry as Quantum ESPRESSO input:
```
&SYSTEM
  ibrav = 0, nat = 9, ntyp = 3
/
ATOMIC_SPECIES
Hf 178.49 Hf.upf
Ge 72.64 Ge.upf
Se 78.96 Se.upf
CELL_PARAMETERS angstrom
-2.2678 -6.2606 0.5039
3.7572 -5.0936 -2.1282
3.4580 -4.3314 5.9954
ATOMIC_POSITIONS crystal
Hf 0.3338 0.3338 0.9985
Ge 0.7287 0.7287 0.8138
Ge 0.6041 0.6041 0.1877
Se 0.7158 0.4196 0.7556
Se 0.1091 0.7158 0.7556
Se 0.4196 0.1091 0.7556
Se 0.2582 0.5489 0.2454
Se 0.9475 0.2582 0.2454
Se 0.5489 0.9475 0.2454
```

Computed properties:
- Crystal system: trigonal
- Formation energy from raw total energies: -0.3999 eV/atom



Computed, not measured: Hf2GeSe after structural relaxation at the PBE level of DFT. Values from VASP.

Geometry as Quantum ESPRESSO input:
```
&SYSTEM
  ibrav = 0, nat = 4, ntyp = 3
/
ATOMIC_SPECIES
Ge 72.64 Ge.upf
Hf 178.49 Hf.upf
Se 78.96 Se.upf
CELL_PARAMETERS angstrom
-0.3508 -3.5379 1.5150
2.8099 -2.6050 -0.5037
3.6215 -0.0521 5.6461
ATOMIC_POSITIONS crystal
Ge 0.5000 0.5000 0.5000
Hf 0.2404 0.2404 0.2787
Hf 0.7596 0.7596 0.7213
Se 0.0000 0.0000 0.0000
```

Computed properties:
- Energy above the lowest structure with this stoichiometry: 0.068 eV/atom
- Crystal system: trigonal
- Formation energy from raw total energies: -0.7581 eV/atom



Computed, not measured: Hf2GeSe after structural relaxation at the PBE level of DFT. Values from VASP.

Geometry as Quantum ESPRESSO input:
```
&SYSTEM
  ibrav = 0, nat = 4, ntyp = 3
/
ATOMIC_SPECIES
Ge 72.64 Ge.upf
Hf 178.49 Hf.upf
Se 78.96 Se.upf
CELL_PARAMETERS angstrom
-0.4991 -1.8585 4.3330
1.6261 2.3442 3.7866
-3.0437 1.9388 3.0748
ATOMIC_POSITIONS crystal
Ge 0.0000 0.0000 0.0000
Hf 0.2500 0.2500 0.2500
Hf 0.7500 0.7500 0.7500
Se 0.5000 0.5000 0.5000
```

Computed properties:
- Energy above the lowest structure with this stoichiometry: 0.288 eV/atom
- Crystal system: cubic
- Formation energy from raw total energies: -0.5376 eV/atom



Computed, not measured: Hf2GeSe after structural relaxation at the PBE level of DFT. Values from VASP.

Geometry as Quantum ESPRESSO input:
```
&SYSTEM
  ibrav = 0, nat = 4, ntyp = 3
/
ATOMIC_SPECIES
Hf 178.49 Hf.upf
Ge 72.64 Ge.upf
Se 78.96 Se.upf
CELL_PARAMETERS angstrom
3.7356 0.0000 0.0000
1.8678 3.2351 0.0000
1.8678 1.0784 6.6909
ATOMIC_POSITIONS crystal
Hf 0.0756 0.0756 0.7731
Hf 0.2575 0.2575 0.2274
Ge 0.6678 0.6678 0.9965
Se 0.4990 0.4990 0.5030
```

Computed properties:
- Energy above the lowest structure with this stoichiometry: 0.000 eV/atom
- Crystal system: trigonal
- Formation energy from raw total energies: -0.8259 eV/atom



Computed, not measured: HfGeSe3 after structural relaxation at the PBE level of DFT. Values from VASP.

Geometry as Quantum ESPRESSO input:
```
&SYSTEM
  ibrav = 0, nat = 5, ntyp = 3
/
ATOMIC_SPECIES
Ge 72.64 Ge.upf
Hf 178.49 Hf.upf
Se 78.96 Se.upf
CELL_PARAMETERS angstrom
-0.5976 -4.8157 -0.5392
0.7256 -0.6260 4.7876
-4.7912 0.5058 0.7923
ATOMIC_POSITIONS crystal
Ge 0.0000 0.0000 0.0000
Hf 0.5000 0.5000 0.5000
Se 0.0000 0.5000 0.0000
Se 0.0000 0.0000 0.5000
Se 0.5000 0.0000 0.0000
```

Computed properties:
- Energy above the lowest structure with this stoichiometry: 1.189 eV/atom
- Crystal system: cubic
- Formation energy from raw total energies: 0.2761 eV/atom



Computed, not measured: HfGeSe3 after structural relaxation at the PBE level of DFT. Values from VASP.

Geometry as Quantum ESPRESSO input:
```
&SYSTEM
  ibrav = 0, nat = 5, ntyp = 3
/
ATOMIC_SPECIES
Ge 72.64 Ge.upf
Hf 178.49 Hf.upf
Se 78.96 Se.upf
CELL_PARAMETERS angstrom
-2.6082 4.0335 1.8844
0.0711 -2.1460 4.6918
4.4514 2.3976 1.0292
ATOMIC_POSITIONS crystal
Ge 0.5000 0.5000 0.5000
Hf 0.0000 0.0000 0.0000
Se 0.0000 0.5000 0.0000
Se 0.0000 0.0000 0.5000
Se 0.5000 0.0000 0.0000
```

Computed properties:
- Energy above the lowest structure with this stoichiometry: 0.629 eV/atom
- Crystal system: cubic
- Formation energy from raw total energies: -0.2841 eV/atom



What are the magnetization values for these records? In order: 0.594 0.000 0.000 0.714 0.056 0.000 0.000 0.000 0.000 0.000 0.000 0.000 μB per atom.
What are the uncorrected energy values for these records? In order: -6.46 -6.62 -8.08 -5.96 -6.79 -7.14 -4.85 -7.76 -7.54 -7.83 -4.73 -5.29 eV/atom.